A relaxed HfH2Ru crystal, computed with GGA-PBE.

POSCAR file:
```
HfH2Ru
1.0
-0.136 -3.063 0.385
4.731 -0.064 1.158
-2.403 1.350 9.890
Hf H Ru
4 8 4
Direct
0.750 0.582 0.362
0.750 0.082 0.138
0.250 0.418 0.638
0.250 0.918 0.862
0.750 0.736 0.989
0.250 0.264 0.011
0.750 0.236 0.511
0.250 0.764 0.489
0.750 0.162 0.748
0.250 0.338 0.248
0.750 0.662 0.752
0.250 0.838 0.252
0.250 0.108 0.391
0.750 0.892 0.609
0.250 0.608 0.109
0.750 0.392 0.891
```

Calculated values
Volume, Å³/cell: 155
VASP energy, eV/cell: -108.701

=====

A relaxed AcSb2Pd8 crystal, computed with GGA-PBE.

POSCAR file:
```
AcSb2Pd8
1.0
5.628 0.000 0.000
0.000 5.628 0.000
0.000 0.000 8.040
Ac Sb Pd
1 2 8
Direct
0.500 0.500 0.500
0.500 0.000 0.000
0.000 0.500 0.000
0.755 0.755 0.220
0.755 0.245 0.780
0.755 0.755 0.780
0.755 0.245 0.220
0.245 0.755 0.220
0.245 0.755 0.780
0.245 0.245 0.220
0.245 0.245 0.780
```

Calculated values
Volume, Å³/cell: 255
Uncorrected formation energy, kJ/mol of atoms: -21

=====

A relaxed CsHoNiCl6 crystal, computed with GGA-PBE.

POSCAR file:
```
CsHoNiCl6
1.0
-5.888 -1.745 -2.481
-4.577 -2.723 3.937
-2.813 7.129 1.661
Cs Ho Ni Cl
1 1 1 6
Direct
0.000 0.000 0.000
0.333 0.333 0.500
0.667 0.667 0.500
0.977 0.385 0.316
0.385 0.977 0.684
0.638 0.385 0.684
0.977 0.638 0.684
0.385 0.638 0.316
0.638 0.977 0.316
```

Calculated values
Volume, Å³/cell: 298
Uncorrected formation energy, kJ/mol of atoms: -161

=====

A relaxed AlPbCl2 crystal, computed with GGA-PBE.

POSCAR file:
```
AlPbCl2
1.0
-3.382 1.854 6.579
-0.285 -3.507 6.767
3.547 3.287 -5.897
Pb Al Cl
1 1 2
Direct
0.396 0.396 0.000
0.217 0.717 0.500
0.090 0.090 0.000
0.797 0.297 0.500
```

Calculated values
Volume, Å³/cell: 122
Uncorrected formation energy, kJ/mol of atoms: -49

=====

A relaxed SiPtSe2 crystal, computed with GGA-PBE.

POSCAR file:
```
SiPtSe2
1.0
4.631 0.000 0.000
2.316 4.011 0.000
2.316 1.337 3.781
Pt Se Si
1 2 1
Direct
0.500 0.500 0.500
0.000 0.000 0.000
0.750 0.750 0.750
0.250 0.250 0.250
```

Calculated values
Volume, Å³/cell: 70
Uncorrected formation energy, kJ/mol of atoms: 42

=====

A relaxed Ho7Zn2Hg2 crystal, computed with GGA-PBE.

POSCAR file:
```
Ho7Zn2Hg2
1.0
6.572 -0.003 -1.013
0.003 7.543 0.003
-1.420 -0.002 6.496
Ho Zn Hg
7 2 2
Direct
0.000 0.278 0.500
0.500 0.722 0.000
0.000 0.722 0.500
0.500 0.278 0.000
0.000 0.000 0.000
0.500 0.756 0.500
0.500 0.244 0.500
0.709 0.000 0.291
0.291 0.000 0.709
0.813 0.500 0.813
0.187 0.500 0.187
```

Calculated values
Energy relative to the elements, meV/atom: -53
Volume, Å³/cell: 311

=====

A relaxed CaSeBr2 crystal, computed with GGA-PBE.

POSCAR file:
```
CaSeBr2
1.0
-0.095 3.084 -2.491
-5.384 -1.621 -1.801
-1.824 2.518 3.187
Ca Se Br
1 1 2
Direct
0.500 0.000 0.500
0.000 0.500 0.500
0.000 0.000 0.000
0.500 0.500 0.000
```

Calculated values
Volume, Å³/cell: 104
Uncorrected formation energy, kJ/mol of atoms: -91

=====

A relaxed BaNdBr2 crystal, computed with GGA-PBE.

POSCAR file:
```
BaNdBr2
1.0
-0.778 -0.241 -3.903
-3.630 -1.078 -1.246
-4.525 9.887 -1.746
Nd Ba Br
1 1 2
Direct
0.500 0.500 0.500
0.000 0.000 0.000
0.103 0.103 0.692
0.897 0.897 0.308
```

Calculated values
Volume, Å³/cell: 148
Uncorrected formation energy, kJ/mol of atoms: -115

=====

A relaxed Tm4NiPt crystal, computed with GGA-PBE.

POSCAR file:
```
Tm4NiPt
1.0
-3.308 1.997 -5.482
0.708 -6.172 -2.675
-5.702 -1.949 2.988
Tm Ni Pt
8 2 2
Direct
0.849 0.662 0.173
0.651 0.162 0.827
0.322 0.333 0.337
0.178 0.833 0.663
0.151 0.338 0.827
0.349 0.838 0.173
0.678 0.667 0.663
0.822 0.167 0.337
0.500 0.000 0.500
0.000 0.500 0.500
0.000 0.000 0.000
0.500 0.500 0.000
```

Calculated values
Energy relative to the elements, meV/atom: -560
Volume, Å³/cell: 305

=====

A relaxed Si4Ni5 crystal, computed with GGA-PBE.

POSCAR file:
```
Si4Ni5
1.0
4.829 -2.127 1.971
-5.595 -0.614 0.192
0.608 -1.973 -5.240
Si Ni
4 5
Direct
0.689 0.000 0.689
0.311 0.000 0.311
0.000 0.311 0.311
0.000 0.689 0.689
0.000 0.000 0.000
0.671 0.329 0.000
0.329 0.671 0.000
0.329 0.329 0.659
0.671 0.671 0.341
```

Calculated values
Volume, Å³/cell: 102
Uncorrected formation energy, kJ/mol of atoms: -30

=====

A relaxed Mn2ZnHRu crystal, computed with GGA-PBE.

POSCAR file:
```
Mn2ZnHRu
1.0
3.758 0.000 0.000
0.000 3.758 0.000
0.000 0.000 3.862
Ru Zn Mn H
1 1 2 1
Direct
0.000 0.000 0.500
0.500 0.500 0.500
0.000 0.500 0.000
0.500 0.000 0.000
0.000 0.000 0.000
```

Calculated values
Volume, Å³/cell: 55
VASP energy, eV/cell: -32.025

=====

A relaxed LaSmBi2 crystal, computed with GGA-PBE.

POSCAR file:
```
LaSmBi2
1.0
-3.165 2.088 -2.592
-2.496 -2.439 -2.986
-7.307 -1.403 3.723
La Sm Bi
1 1 2
Direct
0.669 0.669 0.993
0.498 0.498 0.506
0.084 0.084 0.747
0.249 0.249 0.254
```

Calculated values
Energy relative to the elements, meV/atom: -874
Volume, Å³/cell: 144

=====

For each record above, in turn, the calculated ρ values are 12103, 8618, 3173, 4141, 9009, 9000, 4442, 4944, 10123, 6607, 8444, 8151 kg/m3.
For each record above, in turn, the calculated total moment values are 0.000, 0.000, 2.078, 0.000, 0.000, 0.000, 0.000, 0.000, 0.000, 0.000, 5.267, 0.000 Bohr magnetons per cell.